1.
## K2Hf2CuS6 (PBE)

Data for crystalline K2Hf2CuS6 at its relaxed geometry.

DOS(E_F) = 3.53 states/eV/cell
uncorrected formation energy = -1.235 eV/atom

a = 6.4590 Å, b = 6.4590 Å, c = 7.8350 Å
α = 97.41°, β = 97.41°, γ = 121.37°
Site moments in Bohr magnetons follow the coordinates.
Fractional positions:
K1 0.8402 0.1598 0.0000  0.00
K2 0.1598 0.8402 0.0000  0.00
Hf1 0.3305 0.6695 0.5000  0.01
Hf2 0.6695 0.3305 0.5000  0.01
Cu1 0.0000 0.0000 0.5000  0.40
S1 0.7409 0.7409 0.6737  0.10
S2 0.0658 0.4096 0.6932  0.05
S3 0.2591 0.2591 0.3263  0.10
S4 0.4096 0.0658 0.6932  0.05
S5 0.9342 0.5904 0.3068  0.05
S6 0.5904 0.9342 0.3068  0.05


2.
## KHfCu2Sb (PBE)

Data for crystalline KHfCu2Sb at its relaxed geometry.

DOS(E_F) = 7.47 states/eV/cell
uncorrected formation energy = 1.200 eV/atom

a = 4.8972 Å, b = 6.0163 Å, c = 4.8972 Å
α = 90.00°, β = 90.00°, γ = 90.00°
Site moments in Bohr magnetons follow the coordinates.
Fractional positions:
Sb1 0.0000 0.0000 0.0000  -0.02
K1 0.0000 0.5000 0.0000  0.01
Hf1 0.5000 0.5000 0.5000  0.66
Cu1 0.0000 0.0000 0.5000  0.00
Cu2 0.5000 0.0000 0.0000  -0.01


3.
## K2HfCuSe4 (PBE)

Data for crystalline K2HfCuSe4 at its relaxed geometry.

DOS(E_F) = 9.73 states/eV/cell
uncorrected formation energy = -0.909 eV/atom

a = 8.5604 Å, b = 8.5604 Å, c = 7.9829 Å
α = 117.79°, β = 117.79°, γ = 95.34°
Fractional positions:
K1 0.5000 0.0000 0.0000
K2 0.5000 0.0000 0.5000
K3 0.0000 0.0000 0.5000
K4 0.5000 0.5000 0.0000
Hf1 0.0000 0.5000 0.0000
Hf2 0.0000 0.5000 0.5000
Cu1 0.5000 0.5000 0.5000
Cu2 0.0000 0.0000 0.0000
Se1 0.2199 0.7068 0.9634
Se2 0.7932 0.2801 0.5366
Se3 0.2068 0.7199 0.4634
Se4 0.7801 0.2932 0.0366
Se5 0.7825 0.7177 0.9436
Se6 0.7823 0.7175 0.5564
Se7 0.2177 0.2825 0.4436
Se8 0.2175 0.2823 0.0564


4.
## K4Hf3CuSe8 (PBE)

Data for crystalline K4Hf3CuSe8 at its relaxed geometry.

DOS(E_F) = 4.75 states/eV/cell
uncorrected formation energy = -1.164 eV/atom

a = 7.9205 Å, b = 8.8866 Å, c = 7.9243 Å
α = 116.50°, β = 119.98°, γ = 90.00°
Fractional positions:
K1 0.5000 0.0000 0.0000
K2 0.5000 0.0000 0.5000
K3 0.0000 0.0000 0.0000
K4 0.0000 0.0000 0.5000
Hf1 0.5000 0.5000 0.0000
Hf2 0.5000 0.5000 0.5000
Hf3 0.0000 0.5000 0.5000
Cu1 0.0000 0.5000 0.0000
Se1 0.2323 0.6919 0.9596
Se2 0.2326 0.6921 0.4653
Se3 0.2666 0.2997 0.5331
Se4 0.7273 0.6919 0.9596
Se5 0.2727 0.3081 0.0404
Se6 0.7334 0.7003 0.4669
Se7 0.7674 0.3079 0.5347
Se8 0.7677 0.3081 0.0404


5.
## KHfCu2Se4 (PBE)

Data for crystalline KHfCu2Se4 at its relaxed geometry.

DOS(E_F) = 4.70 states/eV/cell
uncorrected formation energy = -0.677 eV/atom

a = 6.3174 Å, b = 6.7966 Å, c = 6.7966 Å
α = 73.35°, β = 62.31°, γ = 62.31°
Fractional positions:
K1 0.0000 0.0000 0.0000
Hf1 0.5000 0.5000 0.5000
Cu1 0.1372 0.3628 0.3628
Cu2 0.8628 0.6372 0.6372
Se1 0.4368 0.1508 0.5229
Se2 0.1105 0.8492 0.4771
Se3 0.8895 0.5229 0.1508
Se4 0.5632 0.4771 0.8492


6.
## KSrHfCu2 (PBE)

Data for crystalline KSrHfCu2 at its relaxed geometry.

energy relative to the elements = 1.4897 eV/atom
DOS(E_F) = 4.72 states/eV/cell

a = 5.2131 Å, b = 5.4475 Å, c = 5.2131 Å
α = 90.00°, β = 90.00°, γ = 90.00°
Site moments in Bohr magnetons follow the coordinates.
Fractional positions:
Sr1 0.5000 0.5000 0.5000  0.01
K1 0.0000 0.0000 0.0000  0.03
Hf1 0.0000 0.5000 0.0000  0.26
Cu1 0.0000 0.0000 0.5000  0.00
Cu2 0.5000 0.0000 0.0000  0.00


7.
## K2SrHfCu (PBE)

Data for crystalline K2SrHfCu at its relaxed geometry.

energy relative to the elements = 1.4223 eV/atom
DOS(E_F) = 2.47 states/eV/cell

a = 6.6036 Å, b = 6.4438 Å, c = 6.6036 Å
α = 90.00°, β = 90.00°, γ = 90.00°
Site moments in Bohr magnetons follow the coordinates.
Fractional positions:
Sr1 0.0000 0.5000 0.0000  0.23
K1 0.0000 0.0000 0.5000  0.07
K2 0.5000 0.0000 0.0000  0.06
Hf1 0.0000 0.0000 0.0000  1.75
Cu1 0.5000 0.5000 0.5000  0.00


8.
## K3Hf2CuTe6 (PBE)

Data for crystalline K3Hf2CuTe6 at its relaxed geometry.

uncorrected formation energy = -0.778 eV/atom

a = 7.3960 Å, b = 7.3960 Å, c = 8.5037 Å
α = 98.35°, β = 98.35°, γ = 119.97°
Fractional positions:
K1 0.1660 0.8340 0.5000
K2 0.8340 0.1660 0.5000
K3 0.5000 0.5000 0.5000
Hf1 0.3332 0.6668 0.0000
Hf2 0.6668 0.3332 0.0000
Cu1 0.0000 0.0000 0.0000
Te1 0.9356 0.6013 0.8072
Te2 0.7294 0.7294 0.1933
Te3 0.0644 0.3987 0.1928
Te4 0.6013 0.9356 0.8072
Te5 0.2706 0.2706 0.8067
Te6 0.3987 0.0644 0.1928